VASP calculation (PBE+U) on crystalline CsVC2O8 at its relaxed geometry.

Cell lengths 4.9867, 4.6837, 8.9032 Å; angles 72.48, 73.74, 57.84 degrees
With the nearest neighbours (Å) after each atom.
Atoms (fractional coordinates):
Cs 0.5000 0.5000 0.5000  10 O 3.11-3.45
V 0.0000 0.0000 0.0000  6 O 1.82-1.94
O 0.3680 0.9725 0.8430  1 C 1.40
O 0.8165 0.9725 0.8430  1 C 1.40
O 0.7991 0.4652 0.9366  1 C 1.40
C 0.7020 0.7712 0.8249  4 O 1.34-1.40
O 0.2009 0.5348 0.0634  1 C 1.40
O 0.1835 0.0275 0.1570  1 C 1.40
C 0.2980 0.2288 0.1751  4 O 1.34-1.40
O 0.8063 0.7114 0.6760  1 C 1.34
O 0.1937 0.2886 0.3240  1 C 1.34
O 0.6320 0.0275 0.1570  1 C 1.40

Calculated values
volume = 166 Å³/cell
energy = -6.6770 eV/atom